(1)
First-principles (PBE-GGA) data for K2ZnIrO4 after structural relaxation, as listed in the Alexandria database.

a b c (Å): 11.122 9.640 6.975
angles (deg): 82.36 59.21 38.43
Positions (direct):
K: 0.057 0.057 0.693
K: 0.307 0.307 0.943
K: 0.693 0.693 0.057
K: 0.943 0.943 0.307
Zn: 0.375 0.375 0.375
Zn: 0.625 0.625 0.625
Ir: 0.125 0.125 0.125
Ir: 0.875 0.875 0.875
O: 0.008 0.301 0.427
O: 0.236 0.573 0.699
O: 0.301 0.008 0.764
O: 0.427 0.764 0.008
O: 0.573 0.236 0.992
O: 0.699 0.992 0.236
O: 0.764 0.427 0.301
O: 0.992 0.699 0.573

Summary:
ΔE_f (raw): -0.99 eV/atom

=====

(2)
First-principles (PBE-GGA) data for KZrIrO2 after structural relaxation, as listed in the Alexandria database.

a b c (Å): 4.264 4.264 4.965
angles (deg): 90.00 90.00 90.00
Positions (direct):
K: 0.000 0.000 0.000
Zr: 0.500 0.500 0.000
Ir: 0.500 0.500 0.500
O: 0.000 0.500 0.500
O: 0.500 0.000 0.500

Summary:
ΔE_f (raw): 0.34 eV/atom

=====

(3)
First-principles (PBE-GGA) data for KIrOs3 after structural relaxation, as listed in the Alexandria database.

a b c (Å): 4.454 4.454 4.454
angles (deg): 90.00 90.00 90.00
Positions (direct):
K: 0.000 0.000 0.000
Ir: 0.500 0.500 0.500
Os: 0.000 0.000 0.500
Os: 0.000 0.500 0.000
Os: 0.500 0.000 0.000

Summary:
Relative energy among the computed polymorphs: 1826 meV per atom
Formation enthalpy at 0 K: 3977.0 meV per atom

=====

(4)
First-principles (PBE-GGA) data for K2IrOs after structural relaxation, as listed in the Alexandria database.

a b c (Å): 2.807 4.025 10.220
angles (deg): 90.00 95.75 90.00
Positions (direct):
K: 0.000 0.000 0.000
K: 0.283 0.500 0.430
Ir: 0.406 0.500 0.755
Os: 0.878 0.000 0.679

Summary:
Relative energy among the computed polymorphs: 0 meV per atom
Formation enthalpy at 0 K: 530.2 meV per atom

=====

(5)
First-principles (PBE-GGA) data for K2IrOs after structural relaxation, as listed in the Alexandria database.

a b c (Å): 2.822 4.325 20.038
angles (deg): 90.00 90.00 90.00
Positions (direct):
K: 0.000 0.000 0.142
K: 0.000 0.000 0.858
K: 0.500 0.500 0.358
K: 0.500 0.500 0.642
Ir: 0.000 0.500 0.500
Ir: 0.500 0.000 0.000
Os: 0.000 0.500 0.000
Os: 0.500 0.000 0.500

Summary:
Relative energy among the computed polymorphs: 141 meV per atom
Formation enthalpy at 0 K: 670.9 meV per atom

=====

(6)
First-principles (PBE-GGA) data for K2IrOs after structural relaxation, as listed in the Alexandria database.

a b c (Å): 5.500 11.403 2.797
angles (deg): 90.00 117.99 90.00
Positions (direct):
K: 0.250 0.250 0.000
K: 0.250 0.750 0.000
K: 0.750 0.250 0.000
K: 0.750 0.750 0.000
Ir: 0.000 0.000 0.500
Ir: 0.500 0.500 0.500
Os: 0.000 0.500 0.500
Os: 0.500 0.000 0.500

Summary:
Relative energy among the computed polymorphs: 558 meV per atom
Formation enthalpy at 0 K: 1087.6 meV per atom

=====

(7)
First-principles (PBE-GGA) data for K2IrOs after structural relaxation, as listed in the Alexandria database.

a b c (Å): 2.703 2.703 11.093
angles (deg): 90.00 90.00 90.00
Positions (direct):
K: 0.000 0.000 0.245
K: 0.000 0.000 0.755
Ir: 0.500 0.500 0.000
Os: 0.500 0.500 0.500

Summary:
Relative energy among the computed polymorphs: 617 meV per atom
Formation enthalpy at 0 K: 1146.5 meV per atom

=====

(8)
First-principles (PBE-GGA) data for K2IrOs after structural relaxation, as listed in the Alexandria database.

a b c (Å): 4.227 5.709 9.536
angles (deg): 90.00 90.00 90.00
Positions (direct):
K: 0.000 0.000 0.000
K: 0.000 0.500 0.199
K: 0.500 0.000 0.699
K: 0.500 0.500 0.500
Ir: 0.000 0.500 0.795
Ir: 0.500 0.000 0.295
Os: 0.000 0.000 0.401
Os: 0.500 0.500 0.901

Summary:
Relative energy among the computed polymorphs: 336 meV per atom
Formation enthalpy at 0 K: 866.0 meV per atom

=====

(9)
First-principles (PBE-GGA) data for K2IrOs after structural relaxation, as listed in the Alexandria database.

a b c (Å): 8.509 2.842 9.990
angles (deg): 90.00 92.45 90.00
Positions (direct):
K: 0.000 0.000 0.000
K: 0.229 0.000 0.557
K: 0.500 0.500 0.000
K: 0.729 0.500 0.557
Ir: 0.245 0.500 0.241
Ir: 0.745 0.000 0.241
Os: 0.480 0.000 0.314
Os: 0.980 0.500 0.314

Summary:
Relative energy among the computed polymorphs: 84 meV per atom
Formation enthalpy at 0 K: 614.3 meV per atom

=====

(10)
First-principles (PBE-GGA) data for K2IrOs after structural relaxation, as listed in the Alexandria database.

a b c (Å): 12.359 12.359 4.707
angles (deg): 90.00 90.00 90.00
Positions (direct):
K: 0.051 0.250 0.125
K: 0.250 0.551 0.375
K: 0.250 0.949 0.875
K: 0.449 0.250 0.625
K: 0.551 0.750 0.625
K: 0.750 0.051 0.875
K: 0.750 0.449 0.375
K: 0.949 0.750 0.125
Ir: 0.000 0.000 0.000
Ir: 0.000 0.500 0.250
Ir: 0.500 0.000 0.750
Ir: 0.500 0.500 0.500
Os: 0.000 0.000 0.500
Os: 0.000 0.500 0.750
Os: 0.500 0.000 0.250
Os: 0.500 0.500 0.000

Summary:
Relative energy among the computed polymorphs: 666 meV per atom
Formation enthalpy at 0 K: 1195.5 meV per atom

=====

(11)
First-principles (PBE-GGA) data for K2IrOs after structural relaxation, as listed in the Alexandria database.

a b c (Å): 2.798 5.700 4.860
angles (deg): 90.00 92.61 90.00
Positions (direct):
K: 0.246 0.000 0.252
K: 0.754 0.000 0.748
Ir: 0.000 0.500 0.500
Os: 0.500 0.500 0.000

Summary:
Relative energy among the computed polymorphs: 557 meV per atom
Formation enthalpy at 0 K: 1087.1 meV per atom

=====

(12)
First-principles (PBE-GGA) data for K2IrOs after structural relaxation, as listed in the Alexandria database.

a b c (Å): 2.854 4.762 11.408
angles (deg): 90.00 90.00 90.00
Positions (direct):
K: 0.000 0.000 0.245
K: 0.000 0.000 0.755
K: 0.500 0.500 0.245
K: 0.500 0.500 0.755
Ir: 0.000 0.500 0.000
Ir: 0.500 0.000 0.000
Os: 0.000 0.500 0.500
Os: 0.500 0.000 0.500

Summary:
Relative energy among the computed polymorphs: 542 meV per atom
Formation enthalpy at 0 K: 1072.0 meV per atom